Density functional theory data (PBE) for an optimized crystal structure of TaTlFeAg.

It has space group F-43m (No. 216), with a = 6.483 Å, b = 6.483 Å, c = 6.483 Å, α = 90.00°, β = 90.00° and γ = 90.00°. The distinct sites, in fractional coordinates, are Ta at (0.000, 0.000, 0.000), Tl at (0.250, 0.250, 0.250), Fe at (0.000, 0.000, 0.500) and Ag at (0.250, 0.250, 0.750).

The total energy is -90.144 eV per cell.